1.
Ta2Tl2In: single point on PBEsol structure, meta-GGA SCAN.

Cell: 4.0424 4.0424 13.7041 Å, 90.00 90.00 90.00°
With the nearest neighbours (Å) after each atom.
Space group I4/mmm (No. 139)
Symmetry-distinct sites (fractional):
Ta (0.0000, 0.0000, 0.0900)  1 Ta 2.47
Tl (0.0000, 0.5000, 0.2500)  4 Tl 2.86, 4 Ta 2.98
In (0.0000, 0.0000, 0.5000)  8 Ta 3.11

Computed properties:
**Total magnetization**: 0.00 μB/cell
**Raw total energy**: -61.48 eV per atom
**Volume**: 223.9 Å³ per cell



2.
Y2TaIn: single point on PBEsol structure, meta-GGA SCAN.

Cell: 4.5685 4.5685 4.4552 Å, 90.00 90.00 90.00°
With the nearest neighbours (Å) after each atom.
Space group P4/mmm (No. 123)
Symmetry-distinct sites (fractional):
Y (0.0000, 0.5000, 0.0000)  4 Ta 3.19, 4 In 3.19, 4 Y 3.23
Ta (0.0000, 0.0000, 0.5000)  8 Y 3.19, 4 In 3.23
In (0.5000, 0.5000, 0.5000)  8 Y 3.19, 4 Ta 3.23

Computed properties:
**Total magnetization**: 0.00 μB/cell
**Raw total energy**: -38.89 eV per atom
**Volume**: 93.0 Å³ per cell



3.
Ta2ZnIn: single point on PBEsol structure, meta-GGA SCAN.

Cell: 3.9864 3.9864 8.7625 Å, 90.00 90.00 90.00°
With the nearest neighbours (Å) after each atom.
Space group I-4m2 (No. 119)
Symmetry-distinct sites (fractional):
Ta (0.0000, 0.0000, 0.0000)  4 Zn 2.82, 4 Ta 2.96, 4 In 2.96
Ta (0.0000, 0.5000, 0.2500)  4 In 2.82, 4 Ta 2.96, 4 Zn 2.96
Zn (0.0000, 0.0000, 0.5000)  8 Ta 2.82-2.96, 4 In 2.96
In (0.0000, 0.5000, 0.7500)  8 Ta 2.82-2.96, 4 Zn 2.96

Computed properties:
**Total magnetization**: 0.00 μB/cell
**Raw total energy**: -44.85 eV per atom
**Volume**: 139.3 Å³ per cell



4.
Zr2TaIn: single point on PBEsol structure, meta-GGA SCAN.

Cell: 3.1303 3.1303 29.7088 Å, 90.00 90.00 120.00°
With the nearest neighbours (Å) after each atom.
Space group R3m (No. 160, hexagonal axes)
Symmetry-distinct sites (fractional):
Zr (0.0000, 0.0000, 0.0000)  3 Ta 3.01, 9 Zr 3.12-3.13
Zr (0.0000, 0.0000, 0.2476)  9 Zr 3.12-3.13, 3 In 3.13
Ta (0.0000, 0.0000, 0.7475)  3 Zr 3.01, 3 In 3.01, 6 Ta 3.13
In (0.0000, 0.0000, 0.4952)  3 Ta 3.01, 3 Zr 3.13, 6 In 3.13

Computed properties:
**Total magnetization**: 0.00 μB/cell
**Raw total energy**: -40.24 eV per atom
**Volume**: 252.1 Å³ per cell



5.
Zr2TaIn: single point on PBEsol structure, meta-GGA SCAN.

Cell: 3.5133 3.5133 6.6550 Å, 90.00 90.00 90.00°
With the nearest neighbours (Å) after each atom.
Space group P4/mmm (No. 123)
Symmetry-distinct sites (fractional):
Zr (0.0000, 0.0000, 0.2345)  4 Ta 2.93, 4 In 3.05, 1 Zr 3.12
Ta (0.5000, 0.5000, 0.0000)  8 Zr 2.93
In (0.5000, 0.5000, 0.5000)  8 Zr 3.05, 2 Ta 3.33

Computed properties:
**Total magnetization**: 0.00 μB/cell
**Raw total energy**: -40.54 eV per atom
**Volume**: 82.1 Å³ per cell



6.
Zr2TaIn: single point on PBEsol structure, meta-GGA SCAN.

Cell: 3.2070 3.9016 6.5264 Å, 90.00 90.00 90.00°
With the nearest neighbours (Å) after each atom.
Space group Pmm2 (No. 25)
Symmetry-distinct sites (fractional):
Zr (0.0000, 0.0000, 0.0000)  4 Ta 2.97, 6 Zr 3.06-3.21, 1 In 3.13
Zr (0.5000, 0.5000, 0.2642)  4 In 3.03, 6 Zr 3.06-3.21, 2 Ta 3.24-3.29
Ta (0.5000, 0.5000, 0.7599)  6 Zr 2.97-3.29, 4 In 2.97, 2 Ta 3.21
In (0.0000, 0.0000, 0.5198)  4 Ta 2.97, 5 Zr 3.03-3.13, 2 In 3.21

Computed properties:
**Total magnetization**: 0.00 μB/cell
**Raw total energy**: -40.38 eV per atom
**Volume**: 81.7 Å³ per cell



7.
TbIn3: single point on PBEsol structure, meta-GGA SCAN.

Cell: 4.5557 4.5557 4.5557 Å, 90.00 90.00 90.00°
With the nearest neighbours (Å) after each atom.
Space group Pm-3m (No. 221)
Symmetry-distinct sites (fractional):
Tb (0.0000, 0.0000, 0.0000)  12 In 3.22
In (0.0000, 0.5000, 0.5000)  4 Tb 3.22, 8 In 3.22

Computed properties:
**Total magnetization**: 0.00 μB/cell
**Raw total energy**: -37.28 eV per atom
**Volume**: 94.6 Å³ per cell



8.
In2Tc: single point on PBEsol structure, meta-GGA SCAN.

Cell: 4.7539 4.7539 2.8042 Å, 90.00 90.00 120.00°
With the nearest neighbours (Å) after each atom.
Space group P6/mmm (No. 191)
Symmetry-distinct sites (fractional):
In (0.3333, 0.6667, 0.0000)  5 In 2.74-2.80
Tc (0.0000, 0.0000, 0.5000)  2 Tc 2.80, 12 In 3.08

Computed properties:
**Total magnetization**: 0.00 μB/cell
**Raw total energy**: -33.42 eV per atom
**Distance to the lowest polymorph of the same formula**: 140.4 meV per atom
**Volume**: 54.9 Å³ per cell



9.
InTc3: single point on PBEsol structure, meta-GGA SCAN.

Cell: 3.1617 4.3383 8.8414 Å, 90.00 90.00 90.00°
With the nearest neighbours (Å) after each atom.
Space group Immm (No. 71)
Symmetry-distinct sites (fractional):
In (0.0000, 0.0000, 0.0000)  8 Tc 2.68-2.76
Tc (0.0000, 0.0000, 0.5000)  4 Tc 2.67, 4 In 2.68
Tc (0.0000, 0.5000, 0.2437)  6 Tc 2.67-2.69, 2 In 2.76

Computed properties:
**Total magnetization**: 0.00 μB/cell
**Raw total energy**: -34.41 eV per atom
**Volume**: 121.3 Å³ per cell



10.
In3Tc: single point on PBEsol structure, meta-GGA SCAN.

Cell: 3.1048 4.9187 5.1001 Å, 90.00 90.00 90.00°
With the nearest neighbours (Å) after each atom.
Space group Pmm2 (No. 25)
Symmetry-distinct sites (fractional):
In (0.0000, 0.0000, 0.0000)  8 In 2.89-3.10, 4 Tc 3.04
In (0.0000, 0.5000, 0.3355)  4 Tc 2.94-3.03, 8 In 3.00-3.10
In (0.5000, 0.0000, 0.5216)  10 In 2.89-3.10, 2 Tc 2.91
Tc (0.5000, 0.5000, 0.8262)  10 In 2.91-3.04, 2 Tc 3.10

Computed properties:
**Total magnetization**: 1.09 μB/cell
**Raw total energy**: -33.47 eV per atom
**Volume**: 77.9 Å³ per cell



11.
InTc3: single point on PBEsol structure, meta-GGA SCAN.

Cell: 3.7938 3.7938 8.4380 Å, 90.00 90.00 90.00°
With the nearest neighbours (Å) after each atom.
Space group I4/mmm (No. 139)
Symmetry-distinct sites (fractional):
In (0.0000, 0.0000, 0.0000)  12 Tc 2.68-2.84
Tc (0.0000, 0.0000, 0.5000)  4 In 2.68, 8 Tc 2.84
Tc (0.0000, 0.5000, 0.2500)  8 Tc 2.68-2.84, 4 In 2.84

Computed properties:
**Total magnetization**: 0.00 μB/cell
**Raw total energy**: -34.31 eV per atom
**Volume**: 121.4 Å³ per cell



12.
In2Tc: single point on PBEsol structure, meta-GGA SCAN.

Cell: 3.0725 3.0725 7.0330 Å, 90.00 90.00 120.00°
With the nearest neighbours (Å) after each atom.
Space group P-3m1 (No. 164)
Symmetry-distinct sites (fractional):
In (0.3333, 0.6667, 0.1933)  3 Tc 2.79, 6 In 3.07
Tc (0.0000, 0.0000, 0.5000)  6 In 2.79, 6 Tc 3.07

Computed properties:
**Total magnetization**: 1.23 μB/cell
**Raw total energy**: -33.57 eV per atom
**Distance to the lowest polymorph of the same formula**: 0.0 meV per atom
**Volume**: 57.5 Å³ per cell



13.
In2Tc: single point on PBEsol structure, meta-GGA SCAN.

Cell: 2.9960 2.9960 12.9183 Å, 90.00 90.00 90.00°
With the nearest neighbours (Å) after each atom.
Space group I4/mmm (No. 139)
Symmetry-distinct sites (fractional):
In (0.0000, 0.0000, 0.1446)  4 Tc 2.82, 4 In 3.00
Tc (0.0000, 0.0000, 0.5000)  8 In 2.82, 4 Tc 3.00

Computed properties:
**Total magnetization**: 3.12 μB/cell
**Raw total energy**: -33.56 eV per atom
**Distance to the lowest polymorph of the same formula**: 7.8 meV per atom
**Volume**: 116.0 Å³ per cell



14.
InTcTe3: single point on PBEsol structure, meta-GGA SCAN.

Cell: 5.2164 5.2164 5.2164 Å, 90.00 90.00 90.00°
With the nearest neighbours (Å) after each atom.
Space group Pm-3m (No. 221)
Symmetry-distinct sites (fractional):
In (0.0000, 0.0000, 0.0000)  12 Te 3.69
Tc (0.5000, 0.5000, 0.5000)  6 Te 2.61
Te (0.0000, 0.5000, 0.5000)  2 Tc 2.61

Computed properties:
**Formation energy from raw total energies**: 0.3929 eV per atom
**Total magnetization**: 0.00 μB/cell
**Raw total energy**: -35.65 eV per atom
**Volume**: 141.9 Å³ per cell



15.
TlIn2Tc: single point on PBEsol structure, meta-GGA SCAN.

Cell: 5.8072 8.1573 3.3656 Å, 90.00 90.00 90.00°
With the nearest neighbours (Å) after each atom.
Space group Cmmm (No. 65)
Symmetry-distinct sites (fractional):
Tl (0.0000, 0.0000, 0.0000)  2 Tc 2.90, 8 In 3.02
In (0.2500, 0.2500, 0.5000)  2 In 2.90, 4 Tl 3.02, 4 Tc 3.02
Tc (0.0000, 0.5000, 0.0000)  2 Tl 2.90, 8 In 3.02

Computed properties:
**Total magnetization**: 1.19 μB/cell
**Raw total energy**: -43.03 eV per atom
**Volume**: 159.4 Å³ per cell



16.
TlIn2Tc: single point on PBEsol structure, meta-GGA SCAN.

Cell: 3.6624 3.6624 5.9203 Å, 90.00 90.00 90.00°
With the nearest neighbours (Å) after each atom.
Space group P4/mmm (No. 123)
Symmetry-distinct sites (fractional):
Tl (0.0000, 0.0000, 0.0000)  2 Tc 2.96, 8 In 3.04
In (0.5000, 0.5000, 0.2693)  1 In 2.73, 4 Tc 2.93, 4 Tl 3.04
Tc (0.0000, 0.0000, 0.5000)  8 In 2.93, 2 Tl 2.96

Computed properties:
**Total magnetization**: 0.00 μB/cell
**Raw total energy**: -43.19 eV per atom
**Volume**: 79.4 Å³ per cell



17.
TlIn2Tc: single point on PBEsol structure, meta-GGA SCAN.

Cell: 2.9201 4.6353 13.5223 Å, 90.00 90.00 90.00°
With the nearest neighbours (Å) after each atom.
Space group Imm2 (No. 44)
Symmetry-distinct sites (fractional):
Tl (0.0000, 0.0000, 0.0000)  2 Tl 2.92, 2 Tc 2.94
In (0.0000, 0.0000, 0.3638)  2 Tc 2.79, 2 In 2.92
In (0.0000, 0.5000, 0.1852)  4 Tc 2.74, 2 In 2.92
Tc (0.0000, 0.5000, 0.6883)  6 In 2.74-2.79, 2 Tc 2.92, 2 Tl 2.94

Computed properties:
**Total magnetization**: 0.01 μB/cell
**Raw total energy**: -43.31 eV per atom
**Volume**: 183.0 Å³ per cell



18.
Tl2InTc: single point on PBEsol structure, meta-GGA SCAN.

Cell: 2.9506 4.6263 13.8710 Å, 90.00 90.00 90.00°
With the nearest neighbours (Å) after each atom.
Space group Immm (No. 71)
Symmetry-distinct sites (fractional):
Tl (0.0000, 0.0000, 0.1799)  2 Tc 2.90, 2 Tl 2.95
In (0.0000, 0.5000, 0.0000)  4 Tc 2.74, 2 In 2.95
Tc (0.0000, 0.5000, 0.5000)  4 In 2.74, 4 Tl 2.90, 2 Tc 2.95

Computed properties:
**Total magnetization**: 0.01 μB/cell
**Raw total energy**: -52.94 eV per atom
**Volume**: 189.3 Å³ per cell



19.
Y2InTc: single point on PBEsol structure, meta-GGA SCAN.

Cell: 3.3773 3.3773 28.8704 Å, 90.00 90.00 120.00°
With the nearest neighbours (Å) after each atom.
Space group R3m (No. 160, hexagonal axes)
Symmetry-distinct sites (fractional):
Y (0.0000, 0.0000, 0.0000)  3 In 3.21, 6 Y 3.38
Y (0.0000, 0.0000, 0.2248)  3 Tc 2.79
In (0.0000, 0.0000, 0.7552)  3 Tc 2.75
Tc (0.0000, 0.0000, 0.4889)  3 In 2.75, 3 Y 2.79

Computed properties:
**Total magnetization**: 0.00 μB/cell
**Raw total energy**: -30.82 eV per atom
**Volume**: 285.2 Å³ per cell



20.
YIn2Tc: single point on PBEsol structure, meta-GGA SCAN.

Cell: 3.7243 4.7478 9.2726 Å, 90.00 90.00 90.00°
With the nearest neighbours (Å) after each atom.
Space group Imm2 (No. 44)
Symmetry-distinct sites (fractional):
Y (0.0000, 0.0000, 0.0000)  2 Tc 2.90, 8 In 3.03-3.19
In (0.0000, 0.0000, 0.5285)  2 Tc 2.84, 4 Y 3.03, 2 In 3.03
In (0.0000, 0.5000, 0.7704)  4 Tc 3.02, 4 In 3.03-3.27, 4 Y 3.12-3.19
Tc (0.0000, 0.5000, 0.2604)  6 In 2.84-3.02, 2 Y 2.90

Computed properties:
**Total magnetization**: 0.00 μB/cell
**Raw total energy**: -32.42 eV per atom
**Distance to the lowest polymorph of the same formula**: 0.0 meV per atom
**Volume**: 164.0 Å³ per cell